6
Lattice="-0.3952 -4.3471 -3.3380 3.3468 -0.4485 -4.3352 3.9604 -3.8093 -0.0311" Properties=species:S:1:pos:R:3 comment="AcLuTc4 (PBE-GGA, relaxed)" formation_energy_ev_per_fu=0.74 crystal_system=cubic space_group="No. 216" pbc="T T T"
Ac 0.0000 0.0000 0.0000
Lu 1.7280 -2.1512 -1.9261
Tc 4.5130 -3.2093 -3.1493
Tc 2.3447 -3.4770 -4.7955
Tc 4.3162 -5.3734 -4.8110
Tc 2.6501 -5.1501 -2.6529

4
Lattice="4.1739 0.0000 0.0000 0.0000 4.1739 0.0000 0.0000 0.0000 8.3963" Properties=species:S:1:pos:R:3 comment="Ac2LuTe (PBE-GGA, relaxed)" de_polymorph_ev_per_fu=0.00 crystal_system=tetragonal space_group="No. 123" pbc="T T T"
Ac 0.0000 0.0000 6.4389
Te 2.0869 2.0869 0.0000
Ac 0.0000 0.0000 1.9575
Lu 2.0869 2.0869 4.1982

3
Lattice="-0.9745 0.1989 4.0585 4.8364 -1.7986 1.2494 -0.8539 5.2198 -0.4608" Properties=species:S:1:pos:R:3 comment="AcLuTe (PBE-GGA, relaxed)" de_polymorph_ev_per_fu=0.57 crystal_system=trigonal space_group="No. 156" pbc="T T T"
Lu 0.8800 2.9136 0.7879
Te -0.1613 0.0329 0.6716
Ac 2.2894 0.6736 3.3876

3
Lattice="3.9774 0.0000 0.0000 0.0000 3.9774 0.0000 -1.9887 -1.9887 6.2902" Properties=species:S:1:pos:R:3 comment="AcLuTe (PBE-GGA, relaxed)" de_polymorph_ev_per_fu=0.00 crystal_system=tetragonal space_group="No. 107" pbc="T T T"
Te 1.9887 1.9887 2.4287
Ac 1.9887 1.9887 6.2806
Lu 0.0000 0.0000 3.8711

4
Lattice="5.3163 0.0000 0.0000 0.0000 5.3004 0.0000 0.0000 0.0000 5.3004" Properties=species:S:1:pos:R:3 comment="Ac2LuTh (PBE-GGA, relaxed)" formation_energy_ev_per_fu=0.53 de_polymorph_ev_per_fu=0.00 crystal_system=tetragonal space_group="No. 123" pbc="T T T"
Th 2.6582 2.6502 2.6502
Ac 0.0000 0.0000 2.6502
Ac 0.0000 2.6502 0.0000
Lu 2.6582 0.0000 0.0000

4
Lattice="3.6840 0.0000 0.0000 0.0000 3.6840 0.0000 0.0000 0.0000 9.8841" Properties=species:S:1:pos:R:3 comment="AcLu2Th (PBE-GGA, relaxed)" formation_energy_ev_per_fu=0.16 de_polymorph_ev_per_fu=0.00 crystal_system=tetragonal space_group="No. 123" pbc="T T T"
Lu 0.0000 0.0000 2.2850
Th 1.8420 1.8420 0.0000
Ac 1.8420 1.8420 4.9420
Lu 0.0000 0.0000 7.5991

4
Lattice="-1.3569 -0.6582 3.3355 -2.8048 -2.3161 0.4107 7.0150 -10.9074 2.7099" Properties=species:S:1:pos:R:3 comment="Ac2LuTh (PBE-GGA, relaxed)" formation_energy_ev_per_fu=1.20 de_polymorph_ev_per_fu=0.66 crystal_system=trigonal space_group="No. 166" pbc="T T T"
Ac 4.7465 -8.2302 2.3154
Ac -1.8932 -5.6515 4.1407
Lu 1.4267 -6.9408 3.2281
Th 0.0000 0.0000 0.0000

4
Lattice="-0.3978 3.2255 2.1308 0.9180 -3.1208 4.8954 5.7743 1.0045 -0.4425" Properties=species:S:1:pos:R:3 comment="AcLu2Th (PBE-GGA, relaxed)" formation_energy_ev_per_fu=0.46 de_polymorph_ev_per_fu=0.29 crystal_system=tetragonal space_group="No. 123" pbc="T T T"
Lu 2.8871 0.5022 -0.2212
Ac -0.1989 1.6127 1.0654
Lu 0.4590 -1.5604 2.4477
Th 3.1472 0.5546 3.2919

4
Lattice="5.9677 0.0000 0.0000 2.9838 5.1682 0.0000 2.9838 1.7227 4.8726" Properties=species:S:1:pos:R:3 comment="Ac2LuTh (PBE-GGA, relaxed)" formation_energy_ev_per_fu=1.05 de_polymorph_ev_per_fu=0.52 crystal_system=cubic space_group="No. 225" pbc="T T T"
Lu 5.9677 3.4454 2.4363
Th 0.0000 0.0000 0.0000
Ac 2.9838 1.7227 1.2181
Ac 8.9515 5.1682 3.6544

4
Lattice="5.7461 0.0000 0.0000 2.8730 4.9763 0.0000 2.8730 1.6588 4.6917" Properties=species:S:1:pos:R:3 comment="AcLu2Th (PBE-GGA, relaxed)" formation_energy_ev_per_fu=0.44 de_polymorph_ev_per_fu=0.27 crystal_system=cubic space_group="No. 225" pbc="T T T"
Th 0.0000 0.0000 0.0000
Lu 2.8730 1.6588 1.1729
Ac 5.7461 3.3175 2.3458
Lu 8.6191 4.9763 3.5187

4
Lattice="-1.2205 2.3869 -2.6472 0.6796 -2.5909 -2.6495 -9.7314 -3.7152 1.1367" Properties=species:S:1:pos:R:3 comment="Ac2LuTh (PBE-GGA, relaxed)" formation_energy_ev_per_fu=0.54 de_polymorph_ev_per_fu=0.01 crystal_system=tetragonal space_group="No. 123" pbc="T T T"
Th -5.1361 -1.9596 -2.0800
Ac -2.4216 -0.9245 0.2829
Lu -0.2704 -0.1020 -2.6483
Ac -7.3098 -2.7907 0.8538

4
Lattice="5.7564 0.0000 0.0000 2.8782 4.9852 0.0000 2.8782 1.6617 4.7001" Properties=species:S:1:pos:R:3 comment="AcTmLuTh (PBE-GGA, relaxed)" formation_energy_ev_per_fu=0.46 crystal_system=cubic space_group="No. 216" pbc="T T T"
Ac 5.7564 3.3235 2.3500
Th 0.0000 0.0000 0.0000
Tm 8.6346 4.9852 3.5251
Lu 2.8782 1.6617 1.1750

4
Lattice="-1.0490 0.1976 3.5109 -2.8338 -2.2168 -0.7220 5.0865 -7.1276 1.9209" Properties=species:S:1:pos:R:3 comment="AcLu2Ti (PBE-GGA, relaxed)" formation_energy_ev_per_fu=0.78 de_polymorph_ev_per_fu=0.00 crystal_system=tetragonal space_group="No. 123" pbc="T T T"
Ti -1.9414 -1.0096 1.3945
Lu 4.1078 -5.7562 1.5513
Ac 0.6018 -4.5734 2.3549
Lu 0.9787 -1.3715 0.3696

4
Lattice="-3.1476 -0.5969 1.2736 -1.8959 -2.5999 -1.2378 3.0017 -8.3621 8.1655" Properties=species:S:1:pos:R:3 comment="AcLu2Ti (PBE-GGA, relaxed)" formation_energy_ev_per_fu=2.22 de_polymorph_ev_per_fu=1.43 crystal_system=trigonal space_group="No. 166" pbc="T T T"
Lu 1.8576 -6.5794 6.1734
Ti 0.0000 0.0000 0.0000
Lu -3.8993 -4.9796 2.0280
Ac -1.0209 -5.7795 4.1007

4
Lattice="-0.4580 -3.6041 4.6177 2.8317 -5.1483 0.0007 4.6055 -0.8193 3.5554" Properties=species:S:1:pos:R:3 comment="Ac2LuTl (PBE-GGA, relaxed)" formation_energy_ev_per_fu=-0.12 de_polymorph_ev_per_fu=0.18 crystal_system=cubic space_group="No. 225" pbc="T T T"
Lu 0.0000 0.0000 0.0000
Ac 5.2344 -7.1788 6.1304
Tl 3.4896 -4.7858 4.0869
Ac 1.7448 -2.3929 2.0435

4
Lattice="-1.0321 1.0559 -3.3851 0.1064 -3.5148 -1.1288 -8.8400 -1.0299 2.3739" Properties=species:S:1:pos:R:3 comment="AcLu2Tl (PBE-GGA, relaxed)" formation_energy_ev_per_fu=-0.48 de_polymorph_ev_per_fu=0.00 crystal_system=tetragonal space_group="No. 123" pbc="T T T"
Lu -1.8715 -0.2180 0.5026
Ac -4.8828 -1.7444 -1.0700
Lu -6.9685 -0.8118 1.8713
Tl -0.4629 -1.2294 -2.2569

Calculated magnetic moment in order - 0.0; 0.0; 0.0; 0.0; 0.0; 0.0; 0.0; 0.0; 0.0; 0.0; 0.0; 0.0; 2.3; 2.0; 0.0; 0.0 μB per cell
Calculated Fermi-level density of states in order - 10.42; 4.73; 4.42; 3.31; 6.05; 3.75; 6.15; 4.60; 9.56; 4.98; 7.43; 5.34; 6.35; 5.37; 7.14; 3.41 states/eV/cell
Calculated calculated volume in order - 19.6; 36.6; 34.0; 33.2; 37.3; 33.5; 37.9; 33.6; 37.6; 33.5; 37.2; 33.7; 30.2; 30.6; 35.9; 31.4 A^3/atom